Material: MgBPt3
Method: DFT, PBE-GGA
State: optimized geometry

The offset from the most stable computed form is 689 meV/atom. The calculation puts the formation energy at 104 meV/atom. The space-group type is Cmcm, No. 63.

a = 7.118 Å, b = 7.118 Å, c = 5.123 Å
α = 90.00°, β = 90.00°, γ = 125.11°
Element x y z (fractional)
Mg: 0.184 0.816 0.750
Mg: 0.816 0.184 0.250
B: 0.371 0.629 0.750
B: 0.629 0.371 0.250
Pt: 0.000 0.000 0.000
Pt: 0.000 0.000 0.500
Pt: 0.059 0.367 0.750
Pt: 0.367 0.059 0.250
Pt: 0.633 0.941 0.750
Pt: 0.941 0.633 0.250